*A*
## Cu2Pt3 (PBEsol)

Data for a relaxed Cu2Pt3 crystal.

For the spin magnetization, the calculation gives 0.0 μB per cell. The volume is 13.7 Å³/atom.

It has space group P-1 (No. 2), with a = 4.6451 Å, b = 5.3874 Å, c = 6.0158 Å, α = 77.02°, β = 75.23° and γ = 72.81°. The distinct sites, in fractional coordinates, are Cu at (0.9995, 0.2482, 0.0006), Cu at (0.2007, 0.0492, 0.6005), Pt at (0.1976, 0.5533, 0.6012), Pt at (0.3919, 0.8561, 0.1966) and Pt at (0.3992, 0.3461, 0.2011).



*B*
## Cu2Pt3 (PBEsol)

Data for a relaxed Cu2Pt3 crystal.

For the spin magnetization, the calculation gives 0.0 μB per cell. The volume is 13.7 Å³/atom.

It has space group R-3m (No. 166, hexagonal axes), with a = 2.6998 Å, b = 2.6998 Å, c = 32.5793 Å, α = 90.00°, β = 90.00° and γ = 120.00°. The distinct sites, in fractional coordinates, are Cu at (0.0000, 0.0000, 0.1014), Pt at (0.0000, 0.0000, 0.2966) and Pt at (0.0000, 0.0000, 0.5000).



Name the most stable of them. *B*.



*A*
## Li3Pt (PBEsol)

Data for a relaxed Li3Pt crystal.

For the spin magnetization, the calculation gives 0.0 μB per cell. The volume is 15.5 Å³/atom.

It has space group P-6m2 (No. 187), with a = 2.7677 Å, b = 2.7677 Å, c = 9.3372 Å, α = 90.00°, β = 90.00° and γ = 120.00°. The distinct sites, in fractional coordinates, are Li at (0.0000, 0.0000, 0.0000), Li at (0.3333, 0.6667, 0.2800) and Pt at (0.0000, 0.0000, 0.5000).



*B*
## Li3Pt (PBEsol)

Data for a relaxed Li3Pt crystal.

For the spin magnetization, the calculation gives 0.0 μB per cell. The volume is 13.5 Å³/atom.

It has space group Fm-3m (No. 225), with a = 5.9965 Å, b = 5.9965 Å, c = 5.9965 Å, α = 90.00°, β = 90.00° and γ = 90.00°. The distinct sites, in fractional coordinates, are Li at (0.0000, 0.0000, 0.0000), Li at (0.2500, 0.2500, 0.2500) and Pt at (0.0000, 0.0000, 0.5000).



Name the most stable of them. *B*.



*A*
## CdSi2Se (PBEsol)

Data for a relaxed CdSi2Se crystal.

For the spin magnetization, the calculation gives 0.0 μB per cell. The volume is 18.3 Å³/atom.

It has space group F-43m (No. 216), with a = 6.6394 Å, b = 6.6394 Å, c = 6.6394 Å, α = 90.00°, β = 90.00° and γ = 90.00°. The distinct sites, in fractional coordinates, are Cd at (0.0000, 0.0000, 0.0000), Si at (0.0000, 0.0000, 0.5000), Si at (0.2500, 0.2500, 0.7500) and Se at (0.2500, 0.2500, 0.2500).



*B*
## CdSi2Se (PBEsol)

Data for a relaxed CdSi2Se crystal.

For the spin magnetization, the calculation gives 0.0 μB per cell. The volume is 18.6 Å³/atom.

It has space group Fm-3m (No. 225), with a = 6.6769 Å, b = 6.6769 Å, c = 6.6769 Å, α = 90.00°, β = 90.00° and γ = 90.00°. The distinct sites, in fractional coordinates, are Cd at (0.0000, 0.0000, 0.0000), Si at (0.2500, 0.2500, 0.2500) and Se at (0.0000, 0.0000, 0.5000).



Name the most stable of them. *A*.



*A*
## CdNi2As (PBEsol)

Data for a relaxed CdNi2As crystal.

For the spin magnetization, the calculation gives 0.0 μB per cell. The volume is 14.0 Å³/atom.

It has space group R-3m (No. 166, hexagonal axes), with a = 2.8942 Å, b = 2.8942 Å, c = 23.2184 Å, α = 90.00°, β = 90.00° and γ = 120.00°. The distinct sites, in fractional coordinates, are Cd at (0.0000, 0.0000, 0.0000), Ni at (0.0000, 0.0000, 0.2403) and As at (0.0000, 0.0000, 0.5000).



*B*
## CdNi2As (PBEsol)

Data for a relaxed CdNi2As crystal.

For the spin magnetization, the calculation gives 0.0 μB per cell. The volume is 13.7 Å³/atom.

It has space group Fm-3m (No. 225), with a = 6.0296 Å, b = 6.0296 Å, c = 6.0296 Å, α = 90.00°, β = 90.00° and γ = 90.00°. The distinct sites, in fractional coordinates, are Cd at (0.0000, 0.0000, 0.0000), Ni at (0.2500, 0.2500, 0.2500) and As at (0.0000, 0.0000, 0.5000).



Name the most stable of them. *A*.



*A*
## Cr2CoNi (PBEsol)

Data for a relaxed Cr2CoNi crystal.

For the spin magnetization, the calculation gives 0.2 μB per cell. The volume is 10.6 Å³/atom.

It has space group P4mm (No. 99), with a = 2.4182 Å, b = 2.4182 Å, c = 7.2529 Å, α = 90.00°, β = 90.00° and γ = 90.00°. The distinct sites, in fractional coordinates, are Cr at (0.0000, 0.0000, 0.0000), Cr at (0.5000, 0.5000, 0.2750), Co at (0.5000, 0.5000, 0.7680) and Ni at (0.0000, 0.0000, 0.5201).



*B*
## Cr2CoNi (PBEsol)

Data for a relaxed Cr2CoNi crystal.

For the spin magnetization, the calculation gives 0.0 μB per cell. The volume is 10.5 Å³/atom.

It has space group I4/mmm (No. 139), with a = 3.4145 Å, b = 3.4145 Å, c = 7.2143 Å, α = 90.00°, β = 90.00° and γ = 90.00°. The distinct sites, in fractional coordinates, are Cr at (0.0000, 0.5000, 0.2500), Co at (0.0000, 0.0000, 0.0000) and Ni at (0.0000, 0.0000, 0.5000).



Name the most stable of them. *B*.



*A*
## MgAg3 (PBEsol)

Data for a relaxed MgAg3 crystal.

For the spin magnetization, the calculation gives 0.0 μB per cell. The volume is 18.1 Å³/atom.

It has space group P6_3cm (No. 185), with a = 7.7502 Å, b = 7.7502 Å, c = 8.3698 Å, α = 90.00°, β = 90.00° and γ = 120.00°. The distinct sites, in fractional coordinates, are Mg at (0.0000, 0.3709, 0.0000), Ag at (0.0000, 0.0000, 0.0015), Ag at (0.0000, 0.3104, 0.3339), Ag at (0.0000, 0.3118, 0.6661) and Ag at (0.3333, 0.6667, 0.2514).



*B*
## MgAg3 (PBEsol)

Data for a relaxed MgAg3 crystal.

For the spin magnetization, the calculation gives 0.0 μB per cell. The volume is 17.1 Å³/atom.

It has space group C2/m (No. 12), with a = 9.5641 Å, b = 3.0305 Å, c = 4.8403 Å, α = 90.00°, β = 103.12° and γ = 90.00°. The distinct sites, in fractional coordinates, are Mg at (0.0000, 0.0000, 0.0000), Ag at (0.0000, 0.5000, 0.5000) and Ag at (0.2496, 0.0000, 0.7493).



Name the most stable of them. *B*.